# Pm5YEr2 PBE relaxed
# energy: -4.90 eV/atom
# density of states at the Fermi level: 23.215 states/eV per cell
# DFT formation energy: 16 meV/atom
# total magnetization: 0.00 μB per cell
data_Pm5YEr2
_cell_length_a 7.209
_cell_length_b 14.420
_cell_length_c 5.096
_cell_angle_alpha 90.00
_cell_angle_beta 90.00
_cell_angle_gamma 90.00
_symmetry_space_group_name_H-M 'P b a m'
_symmetry_Int_Tables_number 55
_symmetry_space_group_name_Hall '-P 2 2ab'
loop_
_atom_site_label
_atom_site_type_symbol
_atom_site_fract_x
_atom_site_fract_y
_atom_site_fract_z
_atom_site_occupancy
Pm1 Pm 0.000 0.000 0.000 1
Pm2 Pm 0.000 0.250 0.000 1
Pm3 Pm 0.250 0.125 0.500 1
Y1 Y 0.000 0.500 0.000 1
Er1 Er 0.250 0.375 0.500 1